Record 1
Computed, not measured: GdThZnGa after structural relaxation at the PBE level of DFT.

Unit cell a=7.296 b=7.296 c=7.296 alpha=90.00 beta=90.00 gamma=90.00
Space group F-43m (No. 216)
Inequivalent atoms, fractional coordinates:
Gd: 0.000 0.000 0.000 [4 per cell]
Th: 0.000 0.000 0.500 [4 per cell]
Zn: 0.250 0.250 0.250 [4 per cell]
Ga: 0.250 0.250 0.750 [4 per cell]

Results
For the density of states at the Fermi level, the calculation gives 12.1 states/eV/cell. Its calculated formation energy is -37 kJ per mole of atoms. For the electronic total energy, the calculation gives -6.830 eV per atom.

=====

Record 2
Computed, not measured: Gd2TiGa after structural relaxation at the PBE level of DFT.

Unit cell a=3.415 b=3.415 c=8.283 alpha=90.00 beta=90.00 gamma=90.00
Space group P4/mmm (No. 123)
Inequivalent atoms, fractional coordinates:
Gd: 0.000 0.000 0.240 [2 per cell]
Ti: 0.500 0.500 0.500 [1 per cell]
Ga: 0.500 0.500 0.000 [1 per cell]

Results
For the density of states at the Fermi level, the calculation gives 3.5 states/eV/cell. Its calculated formation energy is -12 kJ per mole of atoms. For the electronic total energy, the calculation gives -9.891 eV per atom.

=====

Record 3
Computed, not measured: GdTiGa4 after structural relaxation at the PBE level of DFT.

Unit cell a=7.565 b=7.565 c=7.565 alpha=90.00 beta=90.00 gamma=90.00
Space group F-43m (No. 216)
Inequivalent atoms, fractional coordinates:
Gd: 0.000 0.000 0.000 [4 per cell]
Ti: 0.250 0.250 0.250 [4 per cell]
Ga: 0.125 0.125 0.625 [16 per cell]

Results
For the density of states at the Fermi level, the calculation gives 12.9 states/eV/cell. Its calculated formation energy is -36 kJ per mole of atoms. For the electronic total energy, the calculation gives -6.055 eV per atom.

=====

Record 4
Computed, not measured: Gd2TiGa after structural relaxation at the PBE level of DFT.

Unit cell a=4.554 b=4.554 c=4.434 alpha=90.00 beta=90.00 gamma=90.00
Space group P4/mmm (No. 123)
Inequivalent atoms, fractional coordinates:
Gd: 0.000 0.500 0.000 [2 per cell]
Ti: 0.000 0.000 0.500 [1 per cell]
Ga: 0.500 0.500 0.500 [1 per cell]

Results
For the density of states at the Fermi level, the calculation gives 5.3 states/eV/cell. Its calculated formation energy is -12 kJ per mole of atoms. For the electronic total energy, the calculation gives -9.892 eV per atom.

=====

Record 5
Computed, not measured: GdTiGa after structural relaxation at the PBE level of DFT.

Unit cell a=3.484 b=3.484 c=10.651 alpha=90.00 beta=90.00 gamma=90.00
Space group I4mm (No. 107)
Inequivalent atoms, fractional coordinates:
Gd: 0.000 0.000 0.000 [2 per cell]
Ti: 0.000 0.000 0.696 [2 per cell]
Ga: 0.000 0.000 0.308 [2 per cell]

Results
For the density of states at the Fermi level, the calculation gives 6.2 states/eV/cell. Its calculated formation energy is -19 kJ per mole of atoms. For the electronic total energy, the calculation gives -8.530 eV per atom.

=====

Record 6
Computed, not measured: GdTlGa2 after structural relaxation at the PBE level of DFT.

Unit cell a=4.545 b=4.545 c=4.370 alpha=90.00 beta=90.00 gamma=90.00
Space group P4/mmm (No. 123)
Inequivalent atoms, fractional coordinates:
Gd: 0.000 0.000 0.000 [1 per cell]
Tl: 0.500 0.500 0.000 [1 per cell]
Ga: 0.000 0.500 0.500 [2 per cell]

Results
For the density of states at the Fermi level, the calculation gives 1.8 states/eV/cell. Its calculated formation energy is -37 kJ per mole of atoms. Its energy above the most stable polymorph in this dataset is 0.000 eV/atom. For the electronic total energy, the calculation gives -6.012 eV per atom.

=====

Record 7
Computed, not measured: GdTlGa2 after structural relaxation at the PBE level of DFT.

Unit cell a=7.223 b=7.223 c=7.223 alpha=90.00 beta=90.00 gamma=90.00
Space group Fm-3m (No. 225)
Inequivalent atoms, fractional coordinates:
Gd: 0.000 0.000 0.000 [4 per cell]
Tl: 0.000 0.000 0.500 [4 per cell]
Ga: 0.250 0.250 0.250 [8 per cell]

Results
For the density of states at the Fermi level, the calculation gives 8.9 states/eV/cell. Its calculated formation energy is -19 kJ per mole of atoms. Its energy above the most stable polymorph in this dataset is 0.191 eV/atom. For the electronic total energy, the calculation gives -5.821 eV per atom.

=====

Record 8
Computed, not measured: GdTmTlGa after structural relaxation at the PBE level of DFT.

Unit cell a=7.385 b=7.385 c=7.385 alpha=90.00 beta=90.00 gamma=90.00
Space group F-43m (No. 216)
Inequivalent atoms, fractional coordinates:
Gd: 0.000 0.000 0.000 [4 per cell]
Tm: 0.000 0.000 0.500 [4 per cell]
Tl: 0.250 0.250 0.750 [4 per cell]
Ga: 0.250 0.250 0.250 [4 per cell]

Results
For the density of states at the Fermi level, the calculation gives 9.3 states/eV/cell. Its calculated formation energy is -41 kJ per mole of atoms. For the electronic total energy, the calculation gives -6.407 eV per atom.

=====

Record 9
Computed, not measured: Gd2TmGa after structural relaxation at the PBE level of DFT.

Unit cell a=3.4743 b=3.4743 c=35.1067 alpha=90.00 beta=90.00 gamma=120.00
Space group R-3m (No. 166, hexagonal axes)
Inequivalent atoms, fractional coordinates:
Gd: 0.0000 0.0000 0.0861 [6 per cell]
Tm: 0.0000 0.0000 0.5000 [3 per cell]
Ga: 0.0000 0.0000 0.0000 [3 per cell]

Results
For the density of states at the Fermi level, the calculation gives 11.3 states/eV/cell. Its calculated formation energy is 14 kJ per mole of atoms. Its energy above the most stable polymorph in this dataset is 0.404 eV/atom. For the electronic total energy, the calculation gives -8.771 eV per atom.

=====

Record 10
Computed, not measured: Gd2TmGa after structural relaxation at the PBE level of DFT.

Unit cell a=4.707 b=4.707 c=4.763 alpha=90.00 beta=90.00 gamma=90.00
Space group P4/mmm (No. 123)
Inequivalent atoms, fractional coordinates:
Gd: 0.000 0.500 0.000 [2 per cell]
Tm: 0.000 0.000 0.500 [1 per cell]
Ga: 0.500 0.500 0.500 [1 per cell]

Results
For the density of states at the Fermi level, the calculation gives 3.2 states/eV/cell. Its calculated formation energy is -25 kJ per mole of atoms. Its energy above the most stable polymorph in this dataset is 0.000 eV/atom. For the electronic total energy, the calculation gives -9.175 eV per atom.

=====

Record 11
Computed, not measured: GdTmGa4 after structural relaxation at the PBE level of DFT.

Unit cell a=7.784 b=7.784 c=7.784 alpha=90.00 beta=90.00 gamma=90.00
Space group F-43m (No. 216)
Inequivalent atoms, fractional coordinates:
Gd: 0.000 0.000 0.000 [4 per cell]
Tm: 0.250 0.250 0.250 [4 per cell]
Ga: 0.125 0.125 0.625 [16 per cell]

Results
For the density of states at the Fermi level, the calculation gives 12.3 states/eV/cell. Its calculated formation energy is -52 kJ per mole of atoms. For the electronic total energy, the calculation gives -5.653 eV per atom.

=====

Record 12
Computed, not measured: GdTm2Ga after structural relaxation at the PBE level of DFT.

Unit cell a=3.4564 b=3.4564 c=34.6117 alpha=90.00 beta=90.00 gamma=120.00
Space group R-3m (No. 166, hexagonal axes)
Inequivalent atoms, fractional coordinates:
Gd: 0.0000 0.0000 0.0000 [3 per cell]
Tm: 0.0000 0.0000 0.4148 [6 per cell]
Ga: 0.0000 0.0000 0.5000 [3 per cell]

Results
For the density of states at the Fermi level, the calculation gives 14.2 states/eV/cell. Its calculated formation energy is 14 kJ per mole of atoms. Its energy above the most stable polymorph in this dataset is 0.431 eV/atom. For the electronic total energy, the calculation gives -6.366 eV per atom.

=====

Record 13
Computed, not measured: GdTm2Ga after structural relaxation at the PBE level of DFT.

Unit cell a=3.496 b=3.496 c=8.796 alpha=90.00 beta=90.00 gamma=90.00
Space group P4/mmm (No. 123)
Inequivalent atoms, fractional coordinates:
Gd: 0.000 0.000 0.000 [1 per cell]
Tm: 0.500 0.500 0.293 [2 per cell]
Ga: 0.000 0.000 0.500 [1 per cell]

Results
For the density of states at the Fermi level, the calculation gives 4.0 states/eV/cell. Its calculated formation energy is -27 kJ per mole of atoms. Its energy above the most stable polymorph in this dataset is 0.000 eV/atom. For the electronic total energy, the calculation gives -6.797 eV per atom.

=====

Record 14
Computed, not measured: GdTm2Ga after structural relaxation at the PBE level of DFT.

Unit cell a=4.702 b=4.702 c=4.665 alpha=90.00 beta=90.00 gamma=90.00
Space group P4/mmm (No. 123)
Inequivalent atoms, fractional coordinates:
Gd: 0.000 0.000 0.000 [1 per cell]
Tm: 0.000 0.500 0.500 [2 per cell]
Ga: 0.500 0.500 0.000 [1 per cell]

Results
For the density of states at the Fermi level, the calculation gives 4.3 states/eV/cell. Its calculated formation energy is -24 kJ per mole of atoms. Its energy above the most stable polymorph in this dataset is 0.036 eV/atom. For the electronic total energy, the calculation gives -6.761 eV per atom.

=====

Record 15
Computed, not measured: Gd2TmGa after structural relaxation at the PBE level of DFT.

Unit cell a=7.525 b=7.525 c=7.525 alpha=90.00 beta=90.00 gamma=90.00
Space group Fm-3m (No. 225)
Inequivalent atoms, fractional coordinates:
Gd: 0.250 0.250 0.250 [8 per cell]
Tm: 0.000 0.000 0.000 [4 per cell]
Ga: 0.000 0.000 0.500 [4 per cell]

Results
For the density of states at the Fermi level, the calculation gives 19.4 states/eV/cell. Its calculated formation energy is -13 kJ per mole of atoms. Its energy above the most stable polymorph in this dataset is 0.129 eV/atom. For the electronic total energy, the calculation gives -9.045 eV per atom.